Entry 1:
La2HoThAs4 (PBE, optimized geometry); space-group type = P2/m; ρ = 7.3 g cm⁻³; E = -6.5917 eV per atom; crystal system = monoclinic; calculated formation energy = -1.54 eV per atom
1.0
7.379 0.000 0.000
0.000 4.277 0.000
-2.469 0.000 7.009
La Ho Th As
2 1 1 4
Direct
0.000 0.000 0.000
0.500 0.500 0.000
0.000 0.500 0.500
0.500 0.000 0.500
0.243 0.000 0.737
0.250 0.500 0.261
0.750 0.500 0.739
0.757 0.000 0.263

Entry 2:
BeGaTc3 (PBE, optimized geometry); space-group type = Pm-3m; E above lowest polymorph = 0 meV/atom; ρ = 8.7 g cm⁻³; E = -6.9865 eV per atom; crystal system = cubic; calculated formation energy = 0.58 eV per atom
1.0
4.148 0.000 0.000
0.000 4.148 0.000
0.000 0.000 4.148
Be Ga Tc
1 1 3
Direct
0.000 0.000 0.000
0.500 0.500 0.500
0.000 0.000 0.500
0.000 0.500 0.000
0.500 0.000 0.000

Entry 3:
DyMnFeC2 (PBE, optimized geometry); space-group type = I-4m2; ρ = 8.5 g cm⁻³; E = -8.3366 eV per atom; crystal system = tetragonal; calculated formation energy = -0.20 eV per atom
1.0
3.488 0.000 0.000
0.000 3.488 0.000
0.000 0.000 9.534
Dy Mn Fe C
2 2 2 4
Direct
0.000 0.000 0.000
0.500 0.500 0.500
0.000 0.500 0.750
0.500 0.000 0.250
0.000 0.500 0.250
0.500 0.000 0.750
0.000 0.000 0.339
0.000 0.000 0.661
0.500 0.500 0.161
0.500 0.500 0.839

- Look up the E of the first one.
  -6.5917 eV per atom

Repeat the second record exactly.
BeGaTc3 (PBE, optimized geometry); space-group type = Pm-3m; E above lowest polymorph = 0 meV/atom; ρ = 8.7 g cm⁻³; E = -6.9865 eV per atom; crystal system = cubic; calculated formation energy = 0.58 eV per atom
1.0
4.148 0.000 0.000
0.000 4.148 0.000
0.000 0.000 4.148
Be Ga Tc
1 1 3
Direct
0.000 0.000 0.000
0.500 0.500 0.500
0.000 0.000 0.500
0.000 0.500 0.000
0.500 0.000 0.000